No. 1
Computed, not measured: a relaxed Ba2VBr crystal at the PBE level of DFT.

Computed properties:
As for the space group: I-42d (122). The formation energy (no corrections) comes out at 0.00 eV/atom. The calculation puts the total energy at -58.481 eV for the cell shown. The calculation puts the density at 3.71 g/cm3. The value obtained for the density of states at the Fermi level is 1.315 states/eV/atom. As for the spin magnetization: 5.6 μB per formula unit.

Cell: 8.849 8.849 9.265 Å, 90.00 90.00 90.00°
Fractional coordinates of all 16 atoms:
Ba (0.237, 0.250, 0.125)
Ba (0.250, 0.737, 0.375)
Ba (0.250, 0.763, 0.875)
Ba (0.263, 0.250, 0.625)
Ba (0.737, 0.750, 0.625)
Ba (0.750, 0.237, 0.875)
Ba (0.750, 0.263, 0.375)
Ba (0.763, 0.750, 0.125)
V (0.000, 0.000, 0.500)
V (0.000, 0.500, 0.750)
V (0.500, 0.000, 0.250)
V (0.500, 0.500, 0.000)
Br (0.000, 0.000, 0.000)
Br (0.000, 0.500, 0.250)
Br (0.500, 0.000, 0.750)
Br (0.500, 0.500, 0.500)


No. 2
Computed, not measured: a relaxed Sm2AlSiAu6 crystal at the PBE level of DFT.

Computed properties:
As for the space group: P-1 (2). The formation energy (no corrections) comes out at -0.50 eV/atom. The calculation puts the total energy at -43.249 eV for the cell shown. The calculation puts the density at 12.07 g/cm3. The value obtained for the density of states at the Fermi level is 0.466 states/eV/atom. As for the spin magnetization: 0.0 μB per formula unit.

Cell: 5.507 6.684 6.695 Å, 79.80 67.73 68.16°
Fractional coordinates of all 10 atoms:
Sm (0.004, 0.234, 0.252)
Sm (0.996, 0.766, 0.748)
Al (0.500, 0.500, 0.000)
Si (0.500, 0.000, 0.500)
Au (0.006, 0.771, 0.217)
Au (0.368, 0.398, 0.402)
Au (0.496, 0.185, 0.816)
Au (0.504, 0.815, 0.184)
Au (0.632, 0.602, 0.598)
Au (0.994, 0.229, 0.783)


No. 3
Computed, not measured: a relaxed BaCdSO crystal at the PBE level of DFT.

Computed properties:
As for the space group: P-6m2 (187). The formation energy (no corrections) comes out at -1.50 eV/atom. The calculation puts the total energy at -17.940 eV for the cell shown. The calculation puts the density at 5.61 g/cm3. The value obtained for the density of states at the Fermi level is 0.326 states/eV/atom. As for the spin magnetization: 0.0 μB per formula unit.

Cell: 4.561 4.561 4.896 Å, 90.00 90.00 120.00°
Fractional coordinates of all 4 atoms:
Ba (0.000, 0.000, 0.000)
Cd (0.667, 0.333, 0.500)
S (0.333, 0.667, 0.500)
O (0.667, 0.333, 0.000)


No. 4
Computed, not measured: a relaxed LiRuRh crystal at the PBE level of DFT.

Computed properties:
The value obtained for the energy of formation is 218 meV per atom. As for the space group: P4/nmm (129). The calculation puts the total energy at -35.771 eV for the cell shown. The calculation puts the density at 8.27 g/cm3. The value obtained for the density of states at the Fermi level is 0.718 states/eV/atom. As for the spin magnetization: 0.0 μB per formula unit.

Cell: 3.619 3.619 6.465 Å, 90.00 90.00 90.00°
Fractional coordinates of all 6 atoms:
Li (0.250, 0.250, 0.181)
Li (0.750, 0.750, 0.819)
Ru (0.250, 0.750, 0.500)
Ru (0.750, 0.250, 0.500)
Rh (0.250, 0.250, 0.801)
Rh (0.750, 0.750, 0.199)


No. 5
Computed, not measured: a relaxed Er3Sn2Ru crystal at the PBE level of DFT.

Computed properties:
The value obtained for the energy of formation is -619 meV per atom. As for the space group: Pnma (62). The calculation puts the total energy at -138.727 eV for the cell shown. The calculation puts the density at 9.12 g/cm3. The value obtained for the density of states at the Fermi level is 0.683 states/eV/atom. As for the spin magnetization: 0.0 μB per formula unit.

Cell: 12.380 4.329 11.423 Å, 90.00 90.00 90.00°
Fractional coordinates of all 24 atoms:
Er (0.056, 0.250, 0.127)
Er (0.121, 0.750, 0.545)
Er (0.247, 0.250, 0.783)
Er (0.253, 0.750, 0.283)
Er (0.379, 0.250, 0.045)
Er (0.444, 0.750, 0.627)
Er (0.556, 0.250, 0.373)
Er (0.621, 0.750, 0.955)
Er (0.747, 0.250, 0.717)
Er (0.753, 0.750, 0.217)
Er (0.879, 0.250, 0.455)
Er (0.944, 0.750, 0.873)
Sn (0.007, 0.250, 0.695)
Sn (0.188, 0.750, 0.992)
Sn (0.312, 0.250, 0.492)
Sn (0.493, 0.750, 0.195)
Sn (0.507, 0.250, 0.805)
Sn (0.688, 0.750, 0.508)
Sn (0.812, 0.250, 0.008)
Sn (0.993, 0.750, 0.305)
Ru (0.125, 0.250, 0.366)
Ru (0.375, 0.750, 0.866)
Ru (0.625, 0.250, 0.134)
Ru (0.875, 0.750, 0.634)


No. 6
Computed, not measured: a relaxed CuReP2 crystal at the PBE level of DFT.

Computed properties:
The value obtained for the energy of formation is 412 meV per atom. As for the space group: Cmm2 (35). The calculation puts the total energy at -51.433 eV for the cell shown. The calculation puts the density at 7.97 g/cm3. The value obtained for the density of states at the Fermi level is 0.603 states/eV/atom. As for the spin magnetization: 0.0 μB per formula unit.

Cell: 2.989 4.581 9.487 Å, 90.00 90.00 90.00°
Fractional coordinates of all 8 atoms:
Cu (0.000, 0.000, 0.000)
Cu (0.500, 0.500, 0.000)
Re (0.000, 0.500, 0.760)
Re (0.500, 0.000, 0.760)
P (0.000, 0.000, 0.568)
P (0.000, 0.500, 0.192)
P (0.500, 0.000, 0.192)
P (0.500, 0.500, 0.568)


No. 7
Computed, not measured: a relaxed ZrTl2WCl crystal at the PBE level of DFT.

Computed properties:
As for the space group: P4/mmm (123). The formation energy (no corrections) comes out at 0.56 eV/atom. The calculation puts the total energy at -25.283 eV for the cell shown. The calculation puts the density at 8.06 g/cm3. The value obtained for the density of states at the Fermi level is 0.882 states/eV/atom. As for the spin magnetization: 0.0 μB per formula unit.

Cell: 5.465 5.465 4.965 Å, 90.00 90.00 90.00°
Fractional coordinates of all 5 atoms:
Zr (0.000, 0.000, 0.000)
Tl (0.000, 0.500, 0.500)
Tl (0.500, 0.000, 0.500)
W (0.000, 0.000, 0.500)
Cl (0.500, 0.500, 0.000)


No. 8
Computed, not measured: a relaxed TbPr2Sm2Dy crystal at the PBE level of DFT.

Computed properties:
The value obtained for the energy of formation is 59 meV per atom. As for the space group: Pmma (51). The calculation puts the total energy at -55.752 eV for the cell shown. The calculation puts the density at 7.43 g/cm3. The value obtained for the density of states at the Fermi level is 1.463 states/eV/atom. As for the spin magnetization: 0.0 μB per formula unit.

Cell: 7.094 5.733 9.935 Å, 90.00 90.00 90.00°
Fractional coordinates of all 12 atoms:
Tb (0.000, 0.000, 0.000)
Tb (0.500, 0.000, 0.000)
Pr (0.000, 0.500, 0.500)
Pr (0.250, 0.000, 0.325)
Pr (0.500, 0.500, 0.500)
Pr (0.750, 0.000, 0.675)
Sm (0.250, 0.000, 0.664)
Sm (0.250, 0.500, 0.168)
Sm (0.750, 0.000, 0.336)
Sm (0.750, 0.500, 0.832)
Dy (0.250, 0.500, 0.839)
Dy (0.750, 0.500, 0.161)


No. 9
Computed, not measured: a relaxed Ac7Tl2Ir2 crystal at the PBE level of DFT.

Computed properties:
The value obtained for the energy of formation is -405 meV per atom. As for the space group: Imm2 (44). The calculation puts the total energy at -55.667 eV for the cell shown. The calculation puts the density at 10.02 g/cm3. The value obtained for the density of states at the Fermi level is 0.891 states/eV/atom. As for the spin magnetization: 0.0 μB per formula unit.

Cell: 10.483 10.483 10.483 Å, 157.57 69.56 115.15°
Fractional coordinates of all 11 atoms:
Ac (0.000, 0.000, 0.000)
Ac (0.295, 0.425, 0.870)
Ac (0.310, 0.623, 0.687)
Ac (0.555, 0.425, 0.130)
Ac (0.639, 0.286, 0.353)
Ac (0.933, 0.286, 0.647)
Ac (0.935, 0.623, 0.313)
Tl (0.253, 0.753, 0.500)
Tl (0.669, 0.669, 0.000)
Ir (0.165, 0.929, 0.236)
Ir (0.692, 0.929, 0.764)


No. 10
Computed, not measured: a relaxed ZrPOs3 crystal at the PBE level of DFT.

Computed properties:
The value obtained for the energy of formation is 263 meV per atom. As for the space group: Pm-3m (221). The calculation puts the total energy at -46.331 eV for the cell shown. The calculation puts the density at 13.69 g/cm3. The value obtained for the density of states at the Fermi level is 0.485 states/eV/atom. As for the spin magnetization: 0.0 μB per formula unit.

Cell: 4.380 4.380 4.380 Å, 90.00 90.00 90.00°
Fractional coordinates of all 5 atoms:
Zr (0.000, 0.000, 0.000)
P (0.500, 0.500, 0.500)
Os (0.000, 0.500, 0.500)
Os (0.500, 0.000, 0.500)
Os (0.500, 0.500, 0.000)


No. 11
Computed, not measured: a relaxed LiOs2Cl crystal at the PBE level of DFT.

Computed properties:
As for the space group: P4/mmm (123). The formation energy (no corrections) comes out at 1.15 eV/atom. The calculation puts the total energy at -21.616 eV for the cell shown. The calculation puts the density at 11.65 g/cm3. The value obtained for the density of states at the Fermi level is 1.494 states/eV/atom. As for the spin magnetization: 0.0 μB per formula unit.

Cell: 2.627 2.627 8.737 Å, 90.00 90.00 90.00°
Fractional coordinates of all 4 atoms:
Li (0.000, 0.000, 0.000)
Os (0.500, 0.500, 0.244)
Os (0.500, 0.500, 0.756)
Cl (0.000, 0.000, 0.500)


No. 12
Computed, not measured: a relaxed U2TaWC4 crystal at the PBE level of DFT.

Computed properties:
The value obtained for the energy of formation is -344 meV per atom. As for the space group: P2/m (10). The calculation puts the total energy at -87.026 eV for the cell shown. The calculation puts the density at 14.65 g/cm3. The value obtained for the density of states at the Fermi level is 0.881 states/eV/atom. As for the spin magnetization: 0.3 μB per formula unit.

Cell: 5.594 3.249 5.849 Å, 90.00 108.65 90.00°
Fractional coordinates of all 8 atoms:
U (0.000, 0.000, 0.000)
U (0.500, 0.500, 0.000)
Ta (0.000, 0.500, 0.500)
W (0.500, 0.000, 0.500)
C (0.244, 0.000, 0.723)
C (0.262, 0.500, 0.278)
C (0.738, 0.500, 0.722)
C (0.756, 0.000, 0.277)


No. 13
Computed, not measured: a relaxed ZrSi2Ag crystal at the PBE level of DFT.

Computed properties:
As for the space group: Cm (8). The formation energy (no corrections) comes out at -0.20 eV/atom. The calculation puts the total energy at -46.089 eV for the cell shown. The calculation puts the density at 6.12 g/cm3. The value obtained for the density of states at the Fermi level is 0.304 states/eV/atom. As for the spin magnetization: 0.0 μB per formula unit.

Cell: 10.002 3.180 4.555 Å, 90.00 107.13 90.00°
Fractional coordinates of all 8 atoms:
Zr (0.000, 0.000, 0.000)
Zr (0.500, 0.500, 0.000)
Si (0.039, 0.500, 0.537)
Si (0.256, 0.000, 0.869)
Si (0.539, 0.000, 0.537)
Si (0.756, 0.500, 0.869)
Ag (0.274, 0.500, 0.372)
Ag (0.774, 0.000, 0.372)


No. 14
Computed, not measured: a relaxed Sr2ZrMoBr crystal at the PBE level of DFT.

Computed properties:
As for the space group: P4/mmm (123). The formation energy (no corrections) comes out at 1.04 eV/atom. The calculation puts the total energy at -19.193 eV for the cell shown. The calculation puts the density at 4.03 g/cm3. The value obtained for the density of states at the Fermi level is 1.485 states/eV/atom. As for the spin magnetization: 3.3 μB per formula unit.

Cell: 6.205 6.205 4.729 Å, 90.00 90.00 90.00°
Fractional coordinates of all 5 atoms:
Sr (0.000, 0.500, 0.000)
Sr (0.500, 0.000, 0.000)
Zr (0.000, 0.000, 0.500)
Mo (0.500, 0.500, 0.000)
Br (0.500, 0.500, 0.500)


No. 15
Computed, not measured: a relaxed BaAcAl4 crystal at the PBE level of DFT.

Computed properties:
The value obtained for the energy of formation is -270 meV per atom. As for the space group: F-43m (216). The calculation puts the total energy at -22.620 eV for the cell shown. The calculation puts the density at 5.22 g/cm3. The value obtained for the density of states at the Fermi level is 0.403 states/eV/atom. As for the spin magnetization: 0.0 μB per formula unit.

Cell: 5.967 5.967 5.967 Å, 60.00 60.00 60.00°
Fractional coordinates of all 6 atoms:
Ba (0.000, 0.000, 0.000)
Ac (0.750, 0.750, 0.750)
Al (0.375, 0.375, 0.375)
Al (0.375, 0.375, 0.875)
Al (0.375, 0.875, 0.375)
Al (0.875, 0.375, 0.375)


No. 16
Computed, not measured: a relaxed Nd3TmTe6 crystal at the PBE level of DFT.

Computed properties:
As for the space group: R3 (146). The formation energy (no corrections) comes out at -1.37 eV/atom. The calculation puts the total energy at -51.284 eV for the cell shown. The calculation puts the density at 5.93 g/cm3. As for the spin magnetization: 0.0 μB per formula unit.

Cell: 8.450 8.450 8.450 Å, 55.59 55.59 55.59°
Fractional coordinates of all 10 atoms:
Nd (0.000, 0.000, 0.000)
Nd (0.191, 0.191, 0.191)
Nd (0.498, 0.498, 0.498)
Tm (0.689, 0.689, 0.689)
Te (0.079, 0.419, 0.790)
Te (0.298, 0.905, 0.592)
Te (0.419, 0.790, 0.079)
Te (0.592, 0.298, 0.905)
Te (0.790, 0.079, 0.419)
Te (0.905, 0.592, 0.298)


No. 17
Computed, not measured: a relaxed Nb11Co4Rh9 crystal at the PBE level of DFT.

Computed properties:
The value obtained for the energy of formation is -353 meV per atom. As for the space group: Cmmm (65). The calculation puts the total energy at -213.824 eV for the cell shown. The calculation puts the density at 9.83 g/cm3. The value obtained for the density of states at the Fermi level is 0.665 states/eV/atom. As for the spin magnetization: 0.0 μB per formula unit.

Cell: 11.792 11.792 2.987 Å, 90.00 90.00 117.33°
Fractional coordinates of all 24 atoms:
Nb (0.000, 0.000, 0.000)
Nb (0.050, 0.395, 0.000)
Nb (0.173, 0.827, 0.000)
Nb (0.294, 0.294, 0.000)
Nb (0.374, 0.626, 0.000)
Nb (0.395, 0.050, 0.000)
Nb (0.605, 0.950, 0.000)
Nb (0.626, 0.374, 0.000)
Nb (0.706, 0.706, 0.000)
Nb (0.827, 0.173, 0.000)
Nb (0.950, 0.605, 0.000)
Co (0.248, 0.439, 0.500)
Co (0.439, 0.248, 0.500)
Co (0.561, 0.752, 0.500)
Co (0.752, 0.561, 0.500)
Rh (0.054, 0.202, 0.500)
Rh (0.158, 0.614, 0.500)
Rh (0.202, 0.054, 0.500)
Rh (0.386, 0.842, 0.500)
Rh (0.500, 0.500, 0.500)
Rh (0.614, 0.158, 0.500)
Rh (0.798, 0.946, 0.500)
Rh (0.842, 0.386, 0.500)
Rh (0.946, 0.798, 0.500)


No. 18
Computed, not measured: a relaxed YSiBr crystal at the PBE level of DFT.

Computed properties:
As for the space group: C2/m (12). The formation energy (no corrections) comes out at -0.95 eV/atom. The calculation puts the total energy at -65.696 eV for the cell shown. The calculation puts the density at 4.38 g/cm3. The value obtained for the density of states at the Fermi level is 0.461 states/eV/atom. As for the spin magnetization: 0.0 μB per formula unit.

Cell: 4.932 4.986 12.127 Å, 90.00 90.21 90.00°
Fractional coordinates of all 12 atoms:
Y (0.248, 0.000, 0.302)
Y (0.252, 0.500, 0.698)
Y (0.748, 0.500, 0.302)
Y (0.752, 0.000, 0.698)
Si (0.250, 0.000, 0.538)
Si (0.250, 0.500, 0.462)
Si (0.750, 0.000, 0.462)
Si (0.750, 0.500, 0.538)
Br (0.247, 0.500, 0.157)
Br (0.253, 0.000, 0.843)
Br (0.747, 0.000, 0.157)
Br (0.753, 0.500, 0.843)